[1]
This record from Alexandria describes crystalline Te2PtI at its relaxed geometry. The functional is PBE.

## Properties
Raw formation energy = -295 meV/atom
Size of the total moment = 0.000 μB/atom
Calculated density = 8.15 g/cm3
Symmetry = R3m (160)

a = 4.100 Å, b = 4.100 Å, c = 8.418 Å
α = 75.91°, β = 75.91°, γ = 60.00°
Atoms (fractional coordinates):
Te 0.058 0.058 0.826
Te 0.281 0.281 0.157
Pt 0.669 0.669 0.993
I 0.492 0.492 0.524

=====

[2]
This record from Alexandria describes crystalline Ba3HgCl at its relaxed geometry. The functional is PBE.

## Properties
Raw formation energy = -687 meV/atom
Size of the total moment = 0.000 μB/atom
ΔE to the lowest computed polymorph = 0.000 eV/atom
Calculated density = 4.84 g/cm3
Symmetry = Pm-3m (221)

a = 6.058 Å, b = 6.058 Å, c = 6.058 Å
α = 90.00°, β = 90.00°, γ = 90.00°
Atoms (fractional coordinates):
Cl 0.000 0.000 0.000
Hg 0.500 0.500 0.500
Ba 0.000 0.500 0.000
Ba 0.000 0.000 0.500
Ba 0.500 0.000 0.000

=====

[3]
This record from Alexandria describes crystalline Mg3Ag6Sn at its relaxed geometry. The functional is PBE.

## Properties
ΔE_f = -0.77 eV/f.u.
Size of the total moment = 0.000 μB/atom
ΔE to the lowest computed polymorph = 0.063 eV/atom
Calculated density = 7.04 g/cm3
Symmetry = Cmc2_1 (36)

a = 5.084 Å, b = 9.394 Å, c = 9.394 Å
α = 118.15°, β = 90.00°, γ = 90.00°
Atoms (fractional coordinates):
Mg 0.472 0.925 0.738
Mg 0.972 0.738 0.925
Mg 0.065 0.403 0.597
Mg 0.565 0.597 0.403
Mg 0.972 0.075 0.262
Mg 0.472 0.262 0.075
Ag 0.024 0.710 0.611
Ag 0.524 0.611 0.710
Ag 0.345 0.542 0.961
Ag 0.845 0.961 0.542
Ag 0.463 0.951 0.049
Ag 0.637 0.296 0.704
Ag 0.137 0.704 0.296
Ag 0.963 0.049 0.951
Ag 0.345 0.039 0.458
Ag 0.845 0.458 0.039
Ag 0.024 0.389 0.290
Ag 0.524 0.290 0.389
Sn 0.137 0.214 0.786
Sn 0.637 0.786 0.214